# SrCr10O15, optimized geometry, DFT GGA+U
data_SrCr10O15
_chemical_formula_sum 'Sr4 Cr40 O60'
_cell_length_a 11.6700
_cell_length_b 10.4606
_cell_length_c 9.5414
_cell_angle_alpha 90.00
_cell_angle_beta 90.00
_cell_angle_gamma 90.00
_space_group_name_H-M_alt 'C m c e'
_space_group_IT_number 64
_space_group_name_Hall '-C 2ac 2'
loop_
_atom_site_label
_atom_site_type_symbol
_atom_site_fract_x
_atom_site_fract_y
_atom_site_fract_z
Sr1 Sr 0.0000 0.0000 0.0000
Cr1 Cr 0.0000 0.1852 0.3659
Cr2 Cr 0.1270 0.0829 0.6456
Cr3 Cr 0.2437 0.1626 0.1141
O1 O 0.0000 0.0000 0.5000
O2 O 0.0000 0.1385 0.7693
O3 O 0.1296 0.2335 0.5070
O4 O 0.1310 0.0919 0.2585
O5 O 0.2458 0.0000 0.5000
O6 O 0.2500 0.1852 0.7500
# density = 4.8 Mg/m³
# magnetization = 128.00 μB per cell
# D(E_F) = 0.18 states/eV per atom
# DFT total energy = -201.6 eV per formula unit